VASP calculation (PBE-GGA) on an optimized crystal structure of La3Pr4ThS8.

## Properties
E: -107.17 eV for the cell shown
E_form (uncorrected): -32.829 eV/f.u.
Total magnetic moment: 0.00 μB per atom

abc: 8.2175 8.2175 8.2175
angles: 60.21 60.21 60.21
Atoms (fractional coordinates):
La 0.0000 0.5000 0.5000
La 0.5000 0.0000 0.5000
La 0.5000 0.5000 0.0000
Pr 0.0000 0.0000 0.5000
Pr 0.0000 0.5000 0.0000
Pr 0.5000 0.0000 0.0000
Pr 0.5000 0.5000 0.5000
Th 0.0000 0.0000 0.0000
S 0.2460 0.7527 0.7527
S 0.2473 0.2473 0.7540
S 0.2473 0.7540 0.2473
S 0.2494 0.2494 0.2494
S 0.7506 0.7506 0.7506
S 0.7527 0.2460 0.7527
S 0.7527 0.7527 0.2460
S 0.7540 0.2473 0.2473